# 1
Below is crystalline EuTm2In at its relaxed geometry, with properties calculated at the GGA-PBE level.

```
EuTm2In
1.0
-1.660 -3.234 -3.108
3.617 1.150 -3.129
2.863 -3.437 2.047
Eu Tm In
1 2 1
Cartesian
2.410 -2.760 -2.095
1.431 -1.718 1.023
1.809 0.575 -1.564
-0.830 -1.617 -1.554
```

Values from the calculation:
space-group type	P4/mmm, No. 123
DOS at the Fermi energy	3.66	states/eV per cell
calculated formation energy	-0.79	eV per formula unit

***

# 2
Below is crystalline EuTm2In at its relaxed geometry, with properties calculated at the GGA-PBE level.

```
EuTm2In
1.0
5.458 0.000 0.000
2.729 4.727 0.000
2.729 1.576 4.456
Eu Tm In
1 2 1
Cartesian
5.458 3.151 2.228
2.729 1.576 1.114
8.187 4.727 3.342
0.000 0.000 0.000
```

Values from the calculation:
space-group type	Fm-3m, No. 225
DOS at the Fermi energy	4.96	states/eV per cell
calculated formation energy	-0.34	eV per formula unit

***

# 3
Below is crystalline Eu2TmIn at its relaxed geometry, with properties calculated at the GGA-PBE level.

```
Eu2TmIn
1.0
-0.238 4.786 1.932
-0.610 -1.847 4.500
4.859 -0.021 0.650
Eu Tm In
2 1 1
Cartesian
2.430 -0.011 0.325
-0.305 -0.923 2.250
2.006 1.459 3.541
-0.119 2.393 0.966
```

Values from the calculation:
space-group type	P4/mmm, No. 123
DOS at the Fermi energy	3.90	states/eV per cell
calculated formation energy	-0.75	eV per formula unit

***

# 4
Below is crystalline EuTm2In at its relaxed geometry, with properties calculated at the GGA-PBE level.

```
EuTm2In
1.0
3.594 0.000 0.000
0.000 3.594 0.000
0.000 0.000 9.420
Eu Tm In
1 2 1
Cartesian
1.797 1.797 4.710
0.000 0.000 7.433
0.000 0.000 1.986
1.797 1.797 0.000
```

Values from the calculation:
space-group type	P4/mmm, No. 123
DOS at the Fermi energy	3.47	states/eV per cell
calculated formation energy	-0.68	eV per formula unit

***

# 5
Below is crystalline Eu2TmIn at its relaxed geometry, with properties calculated at the GGA-PBE level.

```
Eu2TmIn
1.0
-0.442 3.763 -1.680
0.993 -1.543 -3.716
-7.275 -1.454 -1.341
Eu Tm In
2 1 1
Cartesian
-5.565 -1.112 -1.026
-1.710 -0.342 -0.315
-3.362 0.383 -3.369
0.276 1.110 -2.698
```

Values from the calculation:
space-group type	P4/mmm, No. 123
DOS at the Fermi energy	4.13	states/eV per cell
calculated formation energy	-0.47	eV per formula unit

***

# 6
Below is crystalline Eu2TmIn at its relaxed geometry, with properties calculated at the GGA-PBE level.

```
Eu2TmIn
1.0
-2.902 0.657 -2.169
0.341 -0.252 -3.658
-3.724 -10.909 -1.450
Eu Tm In
2 1 1
Cartesian
-1.523 -2.439 -1.828
-4.762 -8.064 -5.449
-3.142 -5.252 -3.638
0.000 0.000 0.000
```

Values from the calculation:
space-group type	R-3m, No. 166
DOS at the Fermi energy	4.37	states/eV per cell
calculated formation energy	-0.21	eV per formula unit

***

# 7
Below is crystalline Eu2TmIn at its relaxed geometry, with properties calculated at the GGA-PBE level.

```
Eu2TmIn
1.0
-3.980 -1.598 3.660
1.389 -3.099 4.501
-0.170 2.280 5.154
Eu Tm In
2 1 1
Cartesian
-0.690 -0.604 3.329
-2.070 -1.812 9.986
0.000 0.000 0.000
-1.380 -1.208 6.657
```

Values from the calculation:
space-group type	Fm-3m, No. 225
DOS at the Fermi energy	2.34	states/eV per cell
calculated formation energy	-0.46	eV per formula unit

***

# 8
Below is crystalline EuTmIn at its relaxed geometry, with properties calculated at the GGA-PBE level.

```
EuTmIn
1.0
-3.653 -0.085 0.617
-0.489 -1.877 -3.158
2.770 -4.815 4.608
Eu Tm In
1 1 1
Cartesian
-1.426 -6.337 1.814
0.366 -3.035 1.748
-1.895 -2.443 -0.428
```

Values from the calculation:
space-group type	I4mm, No. 107
DOS at the Fermi energy	3.37	states/eV per cell
calculated formation energy	-0.72	eV per formula unit